A relaxed LiCoReGe crystal, computed with PBE.

Structure (CIF):
```
data_LiCoReGe
_chemical_formula_sum 'Li4 Co4 Re4 Ge4'
_cell_length_a 5.861
_cell_length_b 5.861
_cell_length_c 5.861
_cell_angle_alpha 90.00
_cell_angle_beta 90.00
_cell_angle_gamma 90.00
_space_group_name_H-M_alt 'F -4 3 m'
_space_group_IT_number 216
_space_group_name_Hall 'F -4 2 3'
loop_
_atom_site_label
_atom_site_fract_x
_atom_site_fract_y
_atom_site_fract_z
Li1 0.000 0.000 0.000
Co1 0.000 0.000 0.500
Re1 0.250 0.250 0.750
Ge1 0.250 0.250 0.250
```

Output
As for the relative energy among the computed polymorphs: 0.00 eV/f.u. Its volume is 201.3 Å³ per cell. The electronic total energy comes out at -100.63 eV/cell.